Here is a geometry-optimized BaPuCu2Br8 structure from Alexandria. Energies are from PBE-GGA.

The space group is P-3 (No. 147) and the conventional cell measures 6.7145, 6.7145 and 9.7574 Å, with angles of 90.00, 90.00 and 120.00 degrees. The distinct sites, in fractional coordinates, are Ba at (0.0000, 0.0000, 0.0000), Pu at (0.0000, 0.0000, 0.5000), Cu at (0.3333, 0.6667, 0.7583), Br at (0.0115, 0.6842, 0.3152) and Br at (0.3333, 0.6667, 0.0018).

For the formation energy without anion corrections, the calculation gives -1.1297 eV per atom. The calculation puts the total DFT energy (no corrections) at -51.39 eV per formula unit.